{
  "formula": "K3Tb3ScS8",
  "functional": "PBE",
  "state": "relaxed",
  "lattice": [[7.959, 0.000, 0.000], [-3.979, 6.898, -0.029], [0.000, -4.572, 7.525]],
  "species": ["Tb", "Tb", "Tb", "Sc", "S", "S", "S", "S", "S", "S", "S", "S", "K", "K", "K"],
  "frac_coords": [[0.500, 0.000, 0.500], [0.500, 0.500, 0.500], [0.000, 0.500, 0.500], [0.000, 0.000, 0.500], [0.224, 0.969, 0.693], [0.735, 0.469, 0.703], [0.224, 0.447, 0.693], [0.265, 0.531, 0.297], [0.776, 0.553, 0.307], [0.745, 0.969, 0.693], [0.776, 0.031, 0.307], [0.255, 0.031, 0.307], [0.000, 0.500, 0.000], [0.500, 0.500, 0.000], [0.000, 0.000, 0.000]],
  "dft_energy_ev_per_atom": -5.5276
}